A plane-wave DFT calculation with PBE was carried out for a geometry-optimized Rb3SiTe3 structure.

```
Rb3SiTe3
1.0
5.471 -9.445 0.000
5.471 9.445 0.000
0.000 0.000 7.289
Rb Si Te
6 2 6
direct
0.189 0.811 0.750 Rb
0.190 0.378 0.750 Rb
0.378 0.190 0.250 Rb
0.622 0.810 0.750 Rb
0.810 0.622 0.250 Rb
0.811 0.189 0.250 Rb
0.333 0.667 0.250 Si
0.667 0.333 0.750 Si
0.200 0.800 0.250 Te
0.201 0.402 0.250 Te
0.402 0.201 0.750 Te
0.598 0.799 0.250 Te
0.799 0.598 0.750 Te
0.800 0.200 0.750 Te
```

Properties
The calculation puts the mass density at 2.942 g cm⁻³. The calculation puts the offset from the most stable computed form at 1.146 eV/f.u. The crystal system is orthorhombic. Its uncorrected formation energy is -0.552 eV per atom.